Entry from Alexandria via LeMat-Bulk: crystalline KMnH2F8 at its relaxed geometry (GGA+U).

Cell: 4.745 4.780 7.554 Å, 94.93 96.87 105.45°
Fractional coordinates of all 12 atoms:
K 0.000 0.000 0.000
Mn 0.000 0.000 0.500
H 0.332 0.547 0.802
H 0.668 0.453 0.198
F 0.150 0.275 0.358
F 0.209 0.237 0.705
F 0.306 0.829 0.478
F 0.394 0.714 0.895
F 0.606 0.286 0.105
F 0.694 0.171 0.522
F 0.791 0.763 0.295
F 0.850 0.725 0.642

Calculated values
For the electronic total energy, the calculation gives -4.42 eV per atom. Its density of states at the Fermi level is 2.6 states/eV/cell.